[1]
# LaGa2As2 | Alexandria via LeMat-Bulk | GGA-PBE | relaxed
data_LaGa2As2
_chemical_formula_sum 'La2 Ga4 As4'
_space_group_name_H-M_alt 'I 4/m m m'
_space_group_IT_number 139
_space_group_name_Hall '-I 4 2'
_cell_length_a 4.094
_cell_length_b 4.094
_cell_length_c 14.239
_cell_angle_alpha 90.00
_cell_angle_beta 90.00
_cell_angle_gamma 90.00
loop_
_atom_site_label
_atom_site_type_symbol
_atom_site_fract_x
_atom_site_fract_y
_atom_site_fract_z
La1 La 0.000 0.000 0.000
Ga1 Ga 0.000 0.500 0.250
As1 As 0.000 0.000 0.410
# - density of states at the Fermi level (states/eV/f.u.) = 2.03
# - formation energy (eV/atom) = -0.520

=====

[2]
# SrNbCl6 | Alexandria via LeMat-Bulk | GGA-PBE | relaxed
data_SrNbCl6
_chemical_formula_sum 'Sr3 Nb3 Cl18'
_space_group_name_H-M_alt 'R -3'
_space_group_IT_number 148
_space_group_name_Hall '-R 3'
_cell_length_a 6.7020
_cell_length_b 6.7020
_cell_length_c 18.3600
_cell_angle_alpha 90.00
_cell_angle_beta 90.00
_cell_angle_gamma 120.00
loop_
_atom_site_label
_atom_site_type_symbol
_atom_site_fract_x
_atom_site_fract_y
_atom_site_fract_z
Sr1 Sr 0.0000 0.0000 0.0000
Nb1 Nb 0.0000 0.0000 0.5000
Cl1 Cl 0.0151 0.7101 0.4236
# - ΔE_f (raw) (eV/atom) = -1.6430
# - density of states at the Fermi level (states/eV/f.u.) = 6.53

=====

The highest density of states at the Fermi level belongs to which entry?
SrNbCl6